1.
Compound: La11Pr4Tm9
Source: Alexandria
Functional: GGA-PBE
Structure: relaxed

- N(E_F): 1.44 states/eV per atom
- E_form: 72 meV per atom
- Energy: -4.66 eV/atom

Unit cell a=17.0768 b=25.9071 c=3.7519 alpha=90.00 beta=90.00 gamma=90.00
Space group Cmmm (No. 65)
Symmetry-distinct sites (fractional):
La 0.0000 0.0000 0.0000 x2
La 0.0000 0.1593 0.0000 x4
La 0.0000 0.3666 0.0000 x4
La 0.2114 0.5000 0.0000 x4
La 0.2255 0.1812 0.0000 x8
Pr 0.1557 0.3999 0.5000 x8
Tm 0.0000 0.5000 0.5000 x2
Tm 0.1005 0.2651 0.5000 x8
Tm 0.1375 0.0733 0.5000 x8

2.
Compound: TaMnTe
Source: Alexandria
Functional: GGA-PBE
Structure: relaxed

- Raw formation energy: -0.0698 eV per atom
- Energy above the most stable polymorph in this dataset: 0.000 eV per atom
- Energy: -8.12 eV/atom

Unit cell a=5.9807 b=5.9807 c=5.9807 alpha=90.00 beta=90.00 gamma=90.00
Space group F-43m (No. 216)
Symmetry-distinct sites (fractional):
Ta 0.0000 0.0000 0.0000 x4
Mn 0.2500 0.2500 0.7500 x4
Te 0.0000 0.0000 0.5000 x4

3.
Compound: Ac2LaAl2Pd7
Source: Alexandria
Functional: GGA-PBE
Structure: relaxed

- N(E_F): 0.51 states/eV per atom
- E_form: -814 meV per atom
- Energy: -5.56 eV/atom

Unit cell a=6.1060 b=6.0224 c=14.1811 alpha=90.00 beta=97.64 gamma=90.00
Space group C2/m (No. 12)
Symmetry-distinct sites (fractional):
Ac 0.1007 0.0000 0.3586 x4
La 0.0000 0.0000 0.0000 x2
Al 0.0736 0.5000 0.2422 x4
Pd 0.0000 0.5000 0.0000 x2
Pd 0.1117 0.5000 0.4213 x4
Pd 0.2032 0.2499 0.8470 x8

4.
Compound: TiAl2Fe3
Source: Alexandria
Functional: GGA-PBE
Structure: relaxed

- N(E_F): 1.05 states/eV per atom
- E_form: -372 meV per atom
- Energy: -7.17 eV/atom

Unit cell a=2.9173 b=2.9173 c=8.6268 alpha=90.00 beta=90.00 gamma=90.00
Space group P4/mmm (No. 123)
Symmetry-distinct sites (fractional):
Ti 0.0000 0.0000 0.0000 x1
Al 0.0000 0.0000 0.3322 x2
Fe 0.5000 0.5000 0.1693 x2
Fe 0.5000 0.5000 0.5000 x1

5.
Compound: PmGa2HRu2
Source: Alexandria
Functional: GGA-PBE
Structure: relaxed

- N(E_F): 0.69 states/eV per atom
- Energy: -5.88 eV/atom

Unit cell a=4.1604 b=4.1604 c=5.3427 alpha=90.00 beta=90.00 gamma=90.00
Space group P4/mmm (No. 123)
Symmetry-distinct sites (fractional):
Pm 0.0000 0.0000 0.0000 x1
Ga 0.5000 0.5000 0.2332 x2
H 0.0000 0.0000 0.5000 x1
Ru 0.0000 0.5000 0.5000 x2

6.
Compound: CaPmTm2
Source: Alexandria
Functional: GGA-PBE
Structure: relaxed

- N(E_F): 1.55 states/eV per atom
- Energy above the most stable polymorph in this dataset: 0.000 eV per atom
- E_form: 74 meV per atom
- Energy: -3.85 eV/atom

Unit cell a=3.5905 b=3.5905 c=35.8684 alpha=90.00 beta=90.00 gamma=120.00
Space group R3m (No. 160, hexagonal axes)
Symmetry-distinct sites (fractional):
Ca 0.0000 0.0000 0.0000 x3
Pm 0.0000 0.0000 0.1656 x3
Tm 0.0000 0.0000 0.5788 x3
Tm 0.0000 0.0000 0.7535 x3

7.
Compound: CaLa6Pm12
Source: Alexandria
Functional: GGA-PBE
Structure: relaxed

- N(E_F): 1.76 states/eV per atom
- E_form: 261 meV per atom
- Energy: -4.40 eV/atom

Unit cell a=16.4645 b=16.4645 c=8.8756 alpha=90.00 beta=90.00 gamma=120.00
Space group R-3m (No. 166, hexagonal axes)
Symmetry-distinct sites (fractional):
Ca 0.0000 0.0000 0.0000 x3
La 0.1029 0.5514 0.5417 x18
Pm 0.0000 0.2911 0.5000 x18
Pm 0.0777 0.1555 0.3339 x18

8.
Compound: ErPuTlGa
Source: Alexandria
Functional: GGA-PBE
Structure: relaxed

- N(E_F): 2.20 states/eV per atom
- E_form: -235 meV per atom
- Energy: -6.31 eV/atom

Unit cell a=7.3962 b=7.3962 c=7.3962 alpha=90.00 beta=90.00 gamma=90.00
Space group F-43m (No. 216)
Symmetry-distinct sites (fractional):
Er 0.0000 0.0000 0.0000 x4
Pu 0.0000 0.0000 0.5000 x4
Tl 0.2500 0.2500 0.2500 x4
Ga 0.2500 0.2500 0.7500 x4

- The lowest energy belongs to which entry?
  TaMnTe